5
Lattice="-0.005 0.607 4.776 -4.784 0.532 -0.073 -0.537 -4.746 0.602" Properties=species:S:1:pos:R:3 comment="Ti3AgPt, optimized geometry, DFT PBE" relative_energy_mev_per_atom=0 energy_ev_per_atom=-6.1206 dos_ef_per_ev_cell=6.45 pbc="T T T"
Ag -2.663 -1.804 2.653
Pt 0.000 0.000 0.000
Ti -2.392 0.266 -0.036
Ti -0.268 -2.373 0.301
Ti -0.003 0.303 2.388